(1)
The following is a DFT calculation (PBE) of crystalline Cd2AgAs at its relaxed geometry.

a = 6.068 Å, b = 6.068 Å, c = 6.068 Å
α = 151.76°, β = 127.17°, γ = 60.98°
Sites, in units of the cell vectors:
1 Cd 0.505 0.505 0.000
2 As 0.250 0.750 0.500
3 Cd 0.995 0.995 0.000
4 Ag 0.750 0.250 0.500

Values from the calculation:
- Total DFT energy (no corrections): -2.20 eV/atom
- Spin magnetization: 0.000 μB/atom
- V: 20.90 Å³ per atom
- ΔH_f (0 K): 0.13 eV per atom
- SG: No. 71

(2)
The following is a DFT calculation (PBE) of crystalline LiCuSbS4 at its relaxed geometry.

a = 6.913 Å, b = 7.590 Å, c = 7.590 Å
α = 56.75°, β = 62.91°, γ = 62.91°
Sites, in units of the cell vectors:
1 S 0.772 0.191 0.265
2 S 0.228 0.235 0.309
3 Sb 0.000 0.000 0.000
4 S 0.772 0.765 0.691
5 S 0.744 0.745 0.245
6 Li 0.338 0.412 0.912
7 S 0.228 0.809 0.735
8 Sb 0.000 0.500 0.500
9 S 0.734 0.255 0.755
10 Cu 0.000 0.000 0.500
11 Li 0.662 0.588 0.088
12 S 0.266 0.745 0.245
13 S 0.256 0.255 0.755
14 Cu 0.500 0.000 0.500

Values from the calculation:
- Raw formation energy: -0.33 eV per atom
- Total DFT energy (no corrections): -4.13 eV/atom
- Spin magnetization: 0.006 μB/atom
- V: 20.36 Å³ per atom
- SG: No. 74

(3)
The following is a DFT calculation (PBE) of crystalline YPaTlAu at its relaxed geometry.

a = 5.259 Å, b = 5.259 Å, c = 5.259 Å
α = 60.00°, β = 60.00°, γ = 60.00°
Site moments in Bohr magnetons follow the coordinates.
Sites, in units of the cell vectors:
1 Tl 0.000 0.000 0.000  0.00
2 Pa 0.750 0.750 0.750  1.20
3 Y 0.250 0.250 0.250  0.28
4 Au 0.500 0.500 0.500  0.05

Values from the calculation:
- Total DFT energy (no corrections): -5.55 eV/atom
- Spin magnetization: 0.528 μB/atom
- V: 25.71 Å³ per atom
- ΔH_f (0 K): -0.15 eV per atom
- SG: No. 216

(4)
The following is a DFT calculation (PBE) of crystalline AcTb2Ho7 at its relaxed geometry.

a = 5.708 Å, b = 9.102 Å, c = 9.102 Å
α = 122.59°, β = 90.00°, γ = 90.00°
Sites, in units of the cell vectors:
1 Ho 0.500 0.941 0.704
2 Ho 0.500 0.704 0.941
3 Ho 0.500 0.296 0.059
4 Ho 0.000 0.227 0.773
5 Ho 0.000 0.773 0.227
6 Tb 0.500 0.703 0.297
7 Ho 0.500 0.500 0.500
8 Ho 0.500 0.059 0.296
9 Ac 0.000 0.000 0.000
10 Tb 0.500 0.297 0.703

Values from the calculation:
- Total DFT energy (no corrections): -3.86 eV/atom
- Spin magnetization: 0.000 μB/atom
- V: 39.84 Å³ per atom
- ΔH_f (0 K): 0.69 eV per atom
- SG: No. 65

(5)
The following is a DFT calculation (PBE) of crystalline BaPuCu2Cl8 at its relaxed geometry.

a = 6.316 Å, b = 6.316 Å, c = 9.353 Å
α = 90.00°, β = 90.00°, γ = 120.00°
Site moments in Bohr magnetons follow the coordinates.
Sites, in units of the cell vectors:
1 Cl 0.992 0.316 0.684  0.05
2 Cl 0.333 0.667 0.000  0.03
3 Cu 0.333 0.667 0.761  0.20
4 Pu 0.000 0.000 0.500  -4.72
5 Cl 0.667 0.333 0.000  0.03
6 Cu 0.667 0.333 0.239  0.20
7 Cl 0.008 0.684 0.316  0.05
8 Ba 0.000 0.000 0.000  0.00
9 Cl 0.676 0.992 0.316  0.05
10 Cl 0.324 0.008 0.684  0.05
11 Cl 0.316 0.324 0.316  0.05
12 Cl 0.684 0.676 0.684  0.05

Values from the calculation:
- Raw formation energy: -1.44 eV per atom
- Total DFT energy (no corrections): -4.71 eV/atom
- Spin magnetization: 0.332 μB/atom
- V: 26.93 Å³ per atom
- SG: No. 147

(6)
The following is a DFT calculation (PBE) of crystalline Ba2YHg2O6 at its relaxed geometry.

a = 6.509 Å, b = 6.509 Å, c = 7.063 Å
α = 62.57°, β = 62.57°, γ = 60.00°
Site moments in Bohr magnetons follow the coordinates.
Sites, in units of the cell vectors:
1 O 0.201 0.767 0.265  0.14
2 Ba 0.795 0.795 0.615  -0.01
3 Y 0.000 0.000 0.000  -0.01
4 Hg 0.415 0.415 0.755  0.05
5 O 0.233 0.233 0.735  0.14
6 O 0.233 0.799 0.735  0.14
7 O 0.799 0.233 0.735  0.14
8 Ba 0.205 0.205 0.385  -0.01
9 O 0.767 0.201 0.265  0.14
10 Hg 0.585 0.585 0.245  0.05
11 O 0.767 0.767 0.265  0.14

Values from the calculation:
- Raw formation energy: -1.68 eV per atom
- Total DFT energy (no corrections): -5.38 eV/atom
- Spin magnetization: 0.099 μB/atom
- V: 19.95 Å³ per atom
- SG: No. 166

(7)
The following is a DFT calculation (PBE) of crystalline KIn2F8 at its relaxed geometry.

a = 4.144 Å, b = 6.412 Å, c = 6.412 Å
α = 116.99°, β = 92.02°, γ = 92.02°
Site moments in Bohr magnetons follow the coordinates.
Sites, in units of the cell vectors:
1 F 0.973 0.941 0.663  0.04
2 F 0.500 0.262 0.738  0.01
3 F 0.716 0.443 0.443  0.45
4 In 0.000 0.307 0.693  -0.01
5 K 0.500 0.000 0.000  0.00
6 F 0.027 0.059 0.337  0.04
7 F 0.027 0.337 0.059  0.04
8 In 0.000 0.693 0.307  -0.01
9 F 0.284 0.557 0.557  0.45
10 F 0.500 0.738 0.262  0.01
11 F 0.973 0.663 0.941  0.04

Values from the calculation:
- Raw formation energy: -2.34 eV per atom
- Total DFT energy (no corrections): -4.29 eV/atom
- Spin magnetization: 0.106 μB/atom
- V: 13.77 Å³ per atom
- SG: No. 12

(8)
The following is a DFT calculation (PBE) of crystalline TlNi2Ag at its relaxed geometry.

a = 3.081 Å, b = 3.075 Å, c = 6.871 Å
α = 90.00°, β = 90.00°, γ = 90.00°
Site moments in Bohr magnetons follow the coordinates.
Sites, in units of the cell vectors:
1 Ag 0.500 0.500 0.798  0.00
2 Tl 0.000 0.000 0.465  0.00
3 Ni 0.500 0.500 0.198  0.37
4 Ni 0.000 0.000 0.039  0.43

Values from the calculation:
- Total DFT energy (no corrections): -3.91 eV/atom
- Spin magnetization: 0.191 μB/atom
- V: 16.27 Å³ per atom
- ΔH_f (0 K): 0.29 eV per atom
- SG: No. 99